(1)
This record from Alexandria describes ReIr2Rh at its PBEsol-relaxed geometry. The functional is SCAN.

## Properties
**Formation energy**: -0.083 eV per atom
**Calculated volume**: 56.1 Å³/cell
**Calculated total energy**: -247.40 eV for the cell shown
**Polymorph energy (0 for the lowest one)**: 0.079 eV/atom

abc: 2.6959 2.6959 7.7161
angles: 90.00 90.00 90.00
Last column: nearest neighbours and their distance in Å.
Sites, in units of the cell vectors:
Rh1 0.5000 0.5000 0.7472  4 Re 2.69, 4 Rh 2.70, 4 Ir 2.73
Ir1 0.5000 0.5000 0.2522  8 Ir 2.70-2.72, 4 Re 2.70
Re1 0.0000 0.0000 0.5008  4 Rh 2.69, 4 Re 2.70, 4 Ir 2.70
Ir2 0.0000 0.0000 0.9999  8 Ir 2.70-2.72, 4 Rh 2.73


(2)
This record from Alexandria describes ReIr2Rh at its PBEsol-relaxed geometry. The functional is SCAN.

## Properties
**Formation energy**: -0.112 eV per atom
**Calculated volume**: 55.9 Å³/cell
**Calculated total energy**: -247.51 eV for the cell shown
**Polymorph energy (0 for the lowest one)**: 0.050 eV/atom

abc: 2.6948 4.6851 4.6947
angles: 99.44 106.68 90.00
Last column: nearest neighbours and their distance in Å.
Sites, in units of the cell vectors:
Re1 0.5010 0.5010 0.0021  7 Ir 2.69-2.71, 2 Re 2.69, 3 Rh 2.71
Ir1 0.9984 0.0005 0.9968  3 Rh 2.68-2.73, 5 Ir 2.69-2.72, 4 Re 2.70
Ir2 0.2490 0.7471 0.4980  4 Rh 2.69-2.72, 3 Re 2.69-2.71, 5 Ir 2.69-2.72
Rh1 0.7515 0.2514 0.5031  7 Ir 2.68-2.73, 2 Rh 2.69, 3 Re 2.71